# 1
## CaRh2F8 (PBE)

Data for a relaxed CaRh2F8 crystal.

Output
- Volume: 15.9 Å³ per atom
- Uncorrected energy: -4.74 eV per atom
- Formation energy from raw total energies: -1.860 eV/atom

The structure in CIF format:
```
data_CaRh2F8
_space_group_name_H-M_alt 'P -3'
_space_group_IT_number 147
_space_group_name_Hall '-P 3'
_cell_length_a 6.9828
_cell_length_b 6.9828
_cell_length_c 4.1334
_cell_angle_alpha 90.00
_cell_angle_beta 90.00
_cell_angle_gamma 120.00
loop_
_atom_site_label
_atom_site_type_symbol
_atom_site_fract_x
_atom_site_fract_y
_atom_site_fract_z
Ca1 Ca 0.0000 0.0000 0.0000
Rh1 Rh 0.3333 0.6667 0.2577
F1 F 0.1659 0.3341 0.2583
F2 F 0.3333 0.6667 0.7578
```

# 2
## CaRhF3 (PBE)

Data for a relaxed CaRhF3 crystal.

Output
- Volume: 16.1 Å³ per atom
- Uncorrected energy: -4.71 eV per atom
- Formation energy from raw total energies: -1.716 eV/atom

The structure in CIF format:
```
data_CaRhF3
_space_group_name_H-M_alt 'P m -3 m'
_space_group_IT_number 221
_space_group_name_Hall '-P 4 2 3'
_cell_length_a 4.320
_cell_length_b 4.320
_cell_length_c 4.320
_cell_angle_alpha 90.00
_cell_angle_beta 90.00
_cell_angle_gamma 90.00
loop_
_atom_site_label
_atom_site_type_symbol
_atom_site_fract_x
_atom_site_fract_y
_atom_site_fract_z
Ca1 Ca 0.000 0.000 0.000
Rh1 Rh 0.500 0.500 0.500
F1 F 0.000 0.500 0.500
```

# 3
## Ca2RhF (PBE)

Data for a relaxed Ca2RhF crystal.

Output
- Volume: 21.4 Å³ per atom
- Relative energy among the computed polymorphs: 5 meV/atom
- Uncorrected energy: -4.72 eV per atom
- Formation energy from raw total energies: -1.415 eV/atom

The structure in CIF format:
```
data_Ca2RhF
_space_group_name_H-M_alt 'I -4 2 d'
_space_group_IT_number 122
_space_group_name_Hall 'I -4 2bw'
_cell_length_a 6.662
_cell_length_b 6.662
_cell_length_c 7.725
_cell_angle_alpha 90.00
_cell_angle_beta 90.00
_cell_angle_gamma 90.00
loop_
_atom_site_label
_atom_site_type_symbol
_atom_site_fract_x
_atom_site_fract_y
_atom_site_fract_z
Ca1 Ca 0.198 0.250 0.125
Rh1 Rh 0.000 0.000 0.500
F1 F 0.000 0.000 0.000
```

# 4
## Ca2RhF (PBE)

Data for a relaxed Ca2RhF crystal.

Output
- Volume: 19.2 Å³ per atom
- Relative energy among the computed polymorphs: 0 meV/atom
- Uncorrected energy: -4.73 eV per atom
- Formation energy from raw total energies: -1.419 eV/atom

The structure in CIF format:
```
data_Ca2RhF
_space_group_name_H-M_alt 'P 4/m m m'
_space_group_IT_number 123
_space_group_name_Hall '-P 4 2'
_cell_length_a 3.289
_cell_length_b 3.289
_cell_length_c 7.111
_cell_angle_alpha 90.00
_cell_angle_beta 90.00
_cell_angle_gamma 90.00
loop_
_atom_site_label
_atom_site_type_symbol
_atom_site_fract_x
_atom_site_fract_y
_atom_site_fract_z
Ca1 Ca 0.000 0.000 0.245
Rh1 Rh 0.500 0.500 0.000
F1 F 0.500 0.500 0.500
```

# 5
## Ca2RhF6 (PBE)

Data for a relaxed Ca2RhF6 crystal.

Output
- Volume: 15.5 Å³ per atom
- Uncorrected energy: -5.43 eV per atom
- Formation energy from raw total energies: -2.923 eV/atom

The structure in CIF format:
```
data_Ca2RhF6
_space_group_name_H-M_alt 'P 42/m n m'
_space_group_IT_number 136
_space_group_name_Hall '-P 4n 2n'
_cell_length_a 5.071
_cell_length_b 5.071
_cell_length_c 10.817
_cell_angle_alpha 90.00
_cell_angle_beta 90.00
_cell_angle_gamma 90.00
loop_
_atom_site_label
_atom_site_type_symbol
_atom_site_fract_x
_atom_site_fract_y
_atom_site_fract_z
Ca1 Ca 0.000 0.000 0.166
Rh1 Rh 0.000 0.000 0.500
F1 F 0.189 0.189 0.334
F2 F 0.212 0.212 0.000
```

# 6
## Ca2RhF8 (PBE)

Data for a relaxed Ca2RhF8 crystal.

Output
- Volume: 14.1 Å³ per atom
- Uncorrected energy: -5.22 eV per atom
- Formation energy from raw total energies: -2.825 eV/atom

The structure in CIF format:
```
data_Ca2RhF8
_space_group_name_H-M_alt 'C 1 2/m 1'
_space_group_IT_number 12
_space_group_name_Hall '-C 2y'
_cell_length_a 9.733
_cell_length_b 7.382
_cell_length_c 4.575
_cell_angle_alpha 90.00
_cell_angle_beta 109.63
_cell_angle_gamma 90.00
loop_
_atom_site_label
_atom_site_type_symbol
_atom_site_fract_x
_atom_site_fract_y
_atom_site_fract_z
Ca1 Ca 0.155 0.000 0.357
Rh1 Rh 0.000 0.500 0.000
F1 F 0.090 0.000 0.807
F2 F 0.123 0.500 0.753
F3 F 0.134 0.319 0.265
```

# 7
## CaRhF6 (PBE)

Data for a relaxed CaRhF6 crystal.

Output
- Volume: 14.5 Å³ per atom
- Uncorrected energy: -4.97 eV per atom
- Formation energy from raw total energies: -2.393 eV/atom

The structure in CIF format:
```
data_CaRhF6
_space_group_name_H-M_alt 'C 1 2/m 1'
_space_group_IT_number 12
_space_group_name_Hall '-C 2y'
_cell_length_a 7.658
_cell_length_b 6.279
_cell_length_c 5.262
_cell_angle_alpha 90.00
_cell_angle_beta 113.52
_cell_angle_gamma 90.00
loop_
_atom_site_label
_atom_site_type_symbol
_atom_site_fract_x
_atom_site_fract_y
_atom_site_fract_z
Ca1 Ca 0.000 0.000 0.000
Rh1 Rh 0.000 0.500 0.500
F1 F 0.076 0.284 0.790
F2 F 0.236 0.000 0.455
```

# 8
## Ca2RhF (PBE)

Data for a relaxed Ca2RhF crystal.

Output
- Volume: 19.5 Å³ per atom
- Relative energy among the computed polymorphs: 254 meV/atom
- Uncorrected energy: -4.47 eV per atom
- Formation energy from raw total energies: -1.165 eV/atom

The structure in CIF format:
```
data_Ca2RhF
_space_group_name_H-M_alt 'F m -3 m'
_space_group_IT_number 225
_space_group_name_Hall '-F 4 2 3'
_cell_length_a 6.788
_cell_length_b 6.788
_cell_length_c 6.788
_cell_angle_alpha 90.00
_cell_angle_beta 90.00
_cell_angle_gamma 90.00
loop_
_atom_site_label
_atom_site_type_symbol
_atom_site_fract_x
_atom_site_fract_y
_atom_site_fract_z
Ca1 Ca 0.250 0.250 0.250
Rh1 Rh 0.000 0.000 0.000
F1 F 0.000 0.000 0.500
```

# 9
## Ca12Rh3F5 (PBE)

Data for a relaxed Ca12Rh3F5 crystal.

Output
- Volume: 24.3 Å³ per atom
- Uncorrected energy: -4.30 eV per atom
- Formation energy from raw total energies: -1.528 eV/atom

The structure in CIF format:
```
data_Ca12Rh3F5
_space_group_name_H-M_alt 'I a -3 d'
_space_group_IT_number 230
_space_group_name_Hall '-I 4bd 2c 3'
_cell_length_a 15.714
_cell_length_b 15.714
_cell_length_c 15.714
_cell_angle_alpha 90.00
_cell_angle_beta 90.00
_cell_angle_gamma 90.00
loop_
_atom_site_label
_atom_site_type_symbol
_atom_site_fract_x
_atom_site_fract_y
_atom_site_fract_z
Ca1 Ca 0.028 0.059 0.656
Rh1 Rh 0.000 0.250 0.125
F1 F 0.000 0.000 0.000
F2 F 0.000 0.250 0.375
```

# 10
## CaRhF5 (PBE)

Data for a relaxed CaRhF5 crystal.

Output
- Volume: 15.4 Å³ per atom
- Uncorrected energy: -5.22 eV per atom
- Formation energy from raw total energies: -2.545 eV/atom

The structure in CIF format:
```
data_CaRhF5
_space_group_name_H-M_alt 'C 1 2/c 1'
_space_group_IT_number 15
_space_group_name_Hall '-C 2yc'
_cell_length_a 9.160
_cell_length_b 6.685
_cell_length_c 7.699
_cell_angle_alpha 90.00
_cell_angle_beta 114.10
_cell_angle_gamma 90.00
loop_
_atom_site_label
_atom_site_type_symbol
_atom_site_fract_x
_atom_site_fract_y
_atom_site_fract_z
Ca1 Ca 0.000 0.039 0.250
Rh1 Rh 0.000 0.500 0.000
F1 F 0.000 0.407 0.250
F2 F 0.013 0.201 0.973
F3 F 0.237 0.473 0.623
```

# 11
## CaRhF6 (PBE)

Data for a relaxed CaRhF6 crystal.

Output
- Volume: 15.8 Å³ per atom
- Uncorrected energy: -5.00 eV per atom
- Formation energy from raw total energies: -2.428 eV/atom

The structure in CIF format:
```
data_CaRhF6
_space_group_name_H-M_alt 'R -3'
_space_group_IT_number 148
_space_group_name_Hall '-R 3'
_cell_length_a 5.4550
_cell_length_b 5.4550
_cell_length_c 14.7027
_cell_angle_alpha 90.00
_cell_angle_beta 90.00
_cell_angle_gamma 120.00
loop_
_atom_site_label
_atom_site_type_symbol
_atom_site_fract_x
_atom_site_fract_y
_atom_site_fract_z
Ca1 Ca 0.0000 0.0000 0.0000
Rh1 Rh 0.0000 0.0000 0.5000
F1 F 0.0221 0.3006 0.5771
```

# 12
## Ca2RhF (PBE)

Data for a relaxed Ca2RhF crystal.

Output
- Volume: 21.1 Å³ per atom
- Relative energy among the computed polymorphs: 529 meV/atom
- Uncorrected energy: -4.20 eV per atom
- Formation energy from raw total energies: -0.890 eV/atom

The structure in CIF format:
```
data_Ca2RhF
_space_group_name_H-M_alt 'R -3 m'
_space_group_IT_number 166
_space_group_name_Hall '-R 3 2"'
_cell_length_a 3.4300
_cell_length_b 3.4300
_cell_length_c 24.9079
_cell_angle_alpha 90.00
_cell_angle_beta 90.00
_cell_angle_gamma 120.00
loop_
_atom_site_label
_atom_site_type_symbol
_atom_site_fract_x
_atom_site_fract_y
_atom_site_fract_z
Ca1 Ca 0.0000 0.0000 0.0987
Rh1 Rh 0.0000 0.0000 0.0000
F1 F 0.0000 0.0000 0.5000
```

> The lowest uncorrected energy belongs to which entry?

Ca2RhF6

> What is the uncorrected energy in the tenth record?

-5.22 eV per atom

> formation energy from raw total energies of number 11 (CaRhF6)?

-2.428 eV/atom

> Among the records above, which one has the lowest volume?

Ca2RhF8